# Ca3Y5

A relaxed structure of Ca3Y5 (PBE, the Alexandria database).

Cell: 10.2755 10.5581 5.1589 Å, 90.00 90.00 90.00°
Atoms (fractional coordinates):
Ca: 0.0000 0.0000 0.0000
Ca: 0.2498 0.0000 0.5000
Ca: 0.2502 0.5000 0.5000
Ca: 0.5000 0.5000 0.0000
Ca: 0.7502 0.0000 0.5000
Ca: 0.7498 0.5000 0.5000
Y: 0.0000 0.2620 0.5000
Y: 0.0000 0.5000 0.0000
Y: 0.0000 0.7380 0.5000
Y: 0.2500 0.2500 0.0000
Y: 0.2500 0.7500 0.0000
Y: 0.5000 0.0000 0.0000
Y: 0.5000 0.2380 0.5000
Y: 0.5000 0.7620 0.5000
Y: 0.7500 0.2500 0.0000
Y: 0.7500 0.7500 0.0000

- total energy (eV/atom) = -4.644
- space-group type = Cmmm
- energy relative to the elements (eV per atom) = 0.15
- M_tot (μB per formula unit) = 0.0
- relative energy among the computed polymorphs (eV per atom) = 0.1011